Model one:
The following is a DFT calculation (PBE-GGA) of BaLiAgPb after structural relaxation.

Cell: 7.575 7.575 7.575 Å, 90.00 90.00 90.00°
Positions (direct):
Ba1 0.000 0.000 0.000
Ba2 0.000 0.500 0.500
Ba3 0.500 0.000 0.500
Ba4 0.500 0.500 0.000
Li1 0.250 0.250 0.750
Li2 0.250 0.750 0.250
Li3 0.750 0.250 0.250
Li4 0.750 0.750 0.750
Ag1 0.250 0.250 0.250
Ag2 0.250 0.750 0.750
Ag3 0.750 0.250 0.750
Ag4 0.750 0.750 0.250
Pb1 0.000 0.000 0.500
Pb2 0.000 0.500 0.000
Pb3 0.500 0.000 0.000
Pb4 0.500 0.500 0.500

Fermi-level density of states: 0.243 states/eV per atom

---

Model two:
The following is a DFT calculation (PBE-GGA) of BaLiAgPb after structural relaxation.

Cell: 8.564 4.945 6.284 Å, 90.00 116.89 90.00°
Positions (direct):
Ba1 0.000 0.000 0.000
Ba2 0.500 0.500 0.000
Li1 0.308 0.500 0.425
Li2 0.808 0.000 0.425
Ag1 0.201 0.000 0.604
Ag2 0.701 0.500 0.604
Pb1 0.493 0.000 0.480
Pb2 0.993 0.500 0.480

Fermi-level density of states: 0.375 states/eV per atom

---

model two ends up most stable, edging out the next structure by 5.0 kJ/mol of atoms.

---

Model one:
The following is a DFT calculation (PBE-GGA) of BaLiAgPb2 after structural relaxation.

Cell: 5.304 5.304 5.140 Å, 90.00 90.00 90.00°
Positions (direct):
Ba1 0.000 0.000 0.000
Li1 0.500 0.500 0.500
Ag1 0.500 0.500 0.000
Pb1 0.000 0.500 0.500
Pb2 0.500 0.000 0.500

Fermi-level density of states: 0.556 states/eV per atom

---

Model two:
The following is a DFT calculation (PBE-GGA) of BaLiAgPb2 after structural relaxation.

Cell: 4.939 4.939 12.078 Å, 90.00 90.00 90.00°
Positions (direct):
Ba1 0.000 0.000 0.000
Ba2 0.500 0.500 0.500
Li1 0.000 0.500 0.250
Li2 0.500 0.000 0.750
Ag1 0.000 0.500 0.750
Ag2 0.500 0.000 0.250
Pb1 0.000 0.000 0.375
Pb2 0.000 0.000 0.625
Pb3 0.500 0.500 0.125
Pb4 0.500 0.500 0.875

Fermi-level density of states: 0.504 states/eV per atom

---

model two ends up most stable, edging out the next structure by 15.3 kJ/mol of atoms.

---

Model one:
The following is a DFT calculation (PBE-GGA) of Ba2LiAgPd after structural relaxation.

Cell: 6.123 6.123 4.832 Å, 90.00 90.00 90.00°
Positions (direct):
Ba1 0.000 0.500 0.000
Ba2 0.500 0.000 0.000
Li1 0.000 0.000 0.500
Ag1 0.500 0.500 0.500
Pd1 0.000 0.000 0.000

Fermi-level density of states: 0.688 states/eV per atom

---

Model two:
The following is a DFT calculation (PBE-GGA) of Ba2LiAgPd after structural relaxation.

Cell: 6.126 6.126 5.248 Å, 90.00 90.00 90.00°
Positions (direct):
Ba1 0.000 0.500 0.000
Ba2 0.500 0.000 0.000
Li1 0.000 0.000 0.500
Ag1 0.500 0.500 0.500
Pd1 0.500 0.500 0.000

Fermi-level density of states: 0.710 states/eV per atom

---

model one ends up most stable, edging out the next structure by 8.7 kJ/mol of atoms.

---

Model one:
The following is a DFT calculation (PBE-GGA) of BaLi2AgPd after structural relaxation.

Cell: 4.842 4.842 5.443 Å, 90.00 90.00 90.00°
Positions (direct):
Ba1 0.000 0.000 0.000
Li1 0.000 0.500 0.500
Li2 0.500 0.000 0.500
Ag1 0.500 0.500 0.000
Pd1 0.500 0.500 0.500

Fermi-level density of states: 0.554 states/eV per atom

---

Model two:
The following is a DFT calculation (PBE-GGA) of BaLi2AgPd after structural relaxation.

Cell: 4.817 4.817 5.438 Å, 90.00 90.00 90.00°
Positions (direct):
Ba1 0.000 0.000 0.000
Li1 0.000 0.500 0.500
Li2 0.500 0.000 0.500
Ag1 0.500 0.500 0.500
Pd1 0.500 0.500 0.000

Fermi-level density of states: 0.565 states/eV per atom

---

model one ends up most stable, edging out the next structure by 4.9 kJ/mol of atoms.

---

Model one:
The following is a DFT calculation (PBE-GGA) of RbBa2LiAg after structural relaxation.

Cell: 6.622 6.622 5.727 Å, 90.00 90.00 90.00°
Positions (direct):
Rb1 0.000 0.000 0.000
Ba1 0.000 0.500 0.500
Ba2 0.500 0.000 0.500
Li1 0.500 0.500 0.000
Ag1 0.500 0.500 0.500

Fermi-level density of states: 0.860 states/eV per atom

---

Model two:
The following is a DFT calculation (PBE-GGA) of RbBa2LiAg after structural relaxation.

Cell: 6.505 6.505 6.314 Å, 90.00 90.00 90.00°
Positions (direct):
Rb1 0.000 0.000 0.000
Ba1 0.000 0.500 0.500
Ba2 0.500 0.000 0.500
Li1 0.000 0.000 0.500
Ag1 0.500 0.500 0.000

Fermi-level density of states: 0.604 states/eV per atom

---

model one ends up most stable, edging out the next structure by 31.9 kJ/mol of atoms.

---

Model one:
The following is a DFT calculation (PBE-GGA) of Ba2SrLiAg after structural relaxation.

Cell: 6.616 6.616 5.354 Å, 90.00 90.00 90.00°
Positions (direct):
Ba1 0.000 0.500 0.000
Ba2 0.500 0.000 0.000
Sr1 0.000 0.000 0.500
Li1 0.500 0.500 0.500
Ag1 0.500 0.500 0.000

Fermi-level density of states: 1.126 states/eV per atom

---

Model two:
The following is a DFT calculation (PBE-GGA) of Ba2SrLiAg after structural relaxation.

Cell: 6.485 6.485 6.238 Å, 90.00 90.00 90.00°
Positions (direct):
Ba1 0.000 0.500 0.000
Ba2 0.500 0.000 0.000
Sr1 0.000 0.000 0.500
Li1 0.500 0.500 0.500
Ag1 0.000 0.000 0.000

Fermi-level density of states: 0.820 states/eV per atom

---

model one ends up most stable, edging out the next structure by 0.6 kJ/mol of atoms.